Entry 1:
## AlCoCuW (GGA-PBE)

Data for a relaxed AlCoCuW crystal.

Computed properties:
Energy above the lowest structure with this stoichiometry in meV/atom: 259.6

a = 5.954 Å, b = 5.954 Å, c = 5.954 Å
α = 90.00°, β = 90.00°, γ = 90.00°
Space group F-43m (No. 216)
Asymmetric unit:
Al  0.000  0.000  0.000 x4
Co  0.250  0.250  0.250 x4
Cu  0.000  0.000  0.500 x4
W  0.250  0.250  0.750 x4


Entry 2:
## GdAg2 (GGA-PBE)

Data for a relaxed GdAg2 crystal.

Computed properties:
Formation enthalpy at 0 K in eV per atom: -0.31

a = 3.758 Å, b = 3.758 Å, c = 9.236 Å
α = 90.00°, β = 90.00°, γ = 90.00°
Space group P4/nmm (No. 129, origin choice 2)
Asymmetric unit:
Gd  0.250  0.250  0.250 x2
Ag  0.250  0.250  0.579 x2
Ag  0.250  0.250  0.920 x2


Looking at final energy for the records above, in order, we have -6.6064 -3.7481 eV/atom.
Looking at density for the records above, in order, we have 10.49 9.50 g/cm³.